MgInSb2 | PBE | optimized geometry

Values from the calculation:
Density of states at the Fermi level, states/eV per cell: 2.25
Total magnetization, μB per atom: 0.0000
ΔE to the lowest computed polymorph, meV/atom: 123.1
Formation energy (no corrections), meV per atom: 36.5
Raw total energy, eV/atom: -3.108
ρ, kg/m3: 6087

abc: 5.2851 5.2851 5.2851
angles: 60.00 60.00 60.00
Positions (direct):
Mg (0.0000, 0.0000, 0.0000)
In (0.5000, 0.5000, 0.5000)
Sb (0.2500, 0.2500, 0.2500)
Sb (0.7500, 0.7500, 0.7500)